Model A:
# Sr3TaRe PBE optimized geometry
data_Sr3TaRe
_symmetry_space_group_name_H-M 'P 1'
_symmetry_Int_Tables_number 1
_cell_length_a 5.836
_cell_length_b 5.836
_cell_length_c 5.836
_cell_angle_alpha 90.00
_cell_angle_beta 90.00
_cell_angle_gamma 90.00
loop_
_symmetry_equiv_pos_as_xyz
'x,y,z'
loop_
_atom_site_label
_atom_site_type_symbol
_atom_site_fract_x
_atom_site_fract_y
_atom_site_fract_z
Sr1 Sr 0.500 0.000 0.000
Sr2 Sr 0.000 0.000 0.500
Sr3 Sr 0.000 0.500 0.000
Re1 Re 0.500 0.500 0.500
Ta1 Ta 0.000 0.000 0.000
# calculated volume: 39.75 A^3/atom
# N(E_F): 7.17 states/eV per cell
# magnetization: 5.237 μB/f.u.

Model B:
# Sr3TaRe PBE optimized geometry
data_Sr3TaRe
_symmetry_space_group_name_H-M 'P 1'
_symmetry_Int_Tables_number 1
_cell_length_a 5.645
_cell_length_b 5.645
_cell_length_c 5.645
_cell_angle_alpha 90.00
_cell_angle_beta 90.00
_cell_angle_gamma 90.00
loop_
_symmetry_equiv_pos_as_xyz
'x,y,z'
loop_
_atom_site_label
_atom_site_type_symbol
_atom_site_fract_x
_atom_site_fract_y
_atom_site_fract_z
Sr1 Sr 0.000 0.500 0.000
Sr2 Sr 0.500 0.000 0.000
Sr3 Sr 0.000 0.000 0.500
Ta1 Ta 0.500 0.500 0.500
Re1 Re 0.000 0.000 0.000
# calculated volume: 35.97 A^3/atom
# N(E_F): 13.57 states/eV per cell
# magnetization: 0.236 μB/f.u.

The winner here is model B, beating the second structure by 239 meV/atom.

Model A:
# SrReTc2 PBE optimized geometry
data_SrReTc2
_symmetry_space_group_name_H-M 'P 1'
_symmetry_Int_Tables_number 1
_cell_length_a 3.641
_cell_length_b 2.911
_cell_length_c 8.067
_cell_angle_alpha 68.85
_cell_angle_beta 90.00
_cell_angle_gamma 90.00
loop_
_symmetry_equiv_pos_as_xyz
'x,y,z'
loop_
_atom_site_label
_atom_site_type_symbol
_atom_site_fract_x
_atom_site_fract_y
_atom_site_fract_z
Sr1 Sr 0.500 0.735 0.749
Tc1 Tc 0.000 0.908 0.078
Tc2 Tc 0.500 0.292 0.253
Re1 Re 0.000 0.565 0.420
# calculated volume: 19.94 A^3/atom
# N(E_F): 4.28 states/eV per cell
# magnetization: 0.000 μB/f.u.

Model B:
# SrReTc2 PBE optimized geometry
data_SrReTc2
_symmetry_space_group_name_H-M 'P 1'
_symmetry_Int_Tables_number 1
_cell_length_a 3.202
_cell_length_b 3.202
_cell_length_c 7.669
_cell_angle_alpha 90.00
_cell_angle_beta 90.00
_cell_angle_gamma 90.00
loop_
_symmetry_equiv_pos_as_xyz
'x,y,z'
loop_
_atom_site_label
_atom_site_type_symbol
_atom_site_fract_x
_atom_site_fract_y
_atom_site_fract_z
Tc1 Tc 0.000 0.000 0.426
Tc2 Tc 0.000 0.000 0.074
Re1 Re 0.500 0.500 0.250
Sr1 Sr 0.500 0.500 0.750
# calculated volume: 19.65 A^3/atom
# N(E_F): 4.01 states/eV per cell
# magnetization: 0.000 μB/f.u.

The winner here is model B, beating the second structure by 78 meV/atom.

Model A:
# SrReTc2 PBE optimized geometry
data_SrReTc2
_symmetry_space_group_name_H-M 'P 1'
_symmetry_Int_Tables_number 1
_cell_length_a 4.906
_cell_length_b 4.906
_cell_length_c 5.947
_cell_angle_alpha 76.74
_cell_angle_beta 76.74
_cell_angle_gamma 36.40
loop_
_symmetry_equiv_pos_as_xyz
'x,y,z'
loop_
_atom_site_label
_atom_site_type_symbol
_atom_site_fract_x
_atom_site_fract_y
_atom_site_fract_z
Re1 Re 0.750 0.750 0.750
Tc1 Tc 0.035 0.035 0.904
Tc2 Tc 0.465 0.465 0.596
Sr1 Sr 0.250 0.250 0.250
# calculated volume: 20.61 A^3/atom
# N(E_F): 2.91 states/eV per cell
# magnetization: 0.000 μB/f.u.

Model B:
# SrReTc2 PBE optimized geometry
data_SrReTc2
_symmetry_space_group_name_H-M 'P 1'
_symmetry_Int_Tables_number 1
_cell_length_a 4.092
_cell_length_b 2.925
_cell_length_c 6.827
_cell_angle_alpha 76.72
_cell_angle_beta 90.00
_cell_angle_gamma 90.00
loop_
_symmetry_equiv_pos_as_xyz
'x,y,z'
loop_
_atom_site_label
_atom_site_type_symbol
_atom_site_fract_x
_atom_site_fract_y
_atom_site_fract_z
Sr1 Sr 0.500 0.750 0.750
Re1 Re 0.500 0.250 0.250
Tc1 Tc 0.000 0.026 0.076
Tc2 Tc 0.000 0.474 0.424
# calculated volume: 19.89 A^3/atom
# N(E_F): 4.06 states/eV per cell
# magnetization: 0.000 μB/f.u.

Model C:
# SrReTc2 PBE optimized geometry
data_SrReTc2
_symmetry_space_group_name_H-M 'P 1'
_symmetry_Int_Tables_number 1
_cell_length_a 10.071
_cell_length_b 10.071
_cell_length_c 10.071
_cell_angle_alpha 16.36
_cell_angle_beta 16.36
_cell_angle_gamma 16.36
loop_
_symmetry_equiv_pos_as_xyz
'x,y,z'
loop_
_atom_site_label
_atom_site_type_symbol
_atom_site_fract_x
_atom_site_fract_y
_atom_site_fract_z
Sr1 Sr 0.250 0.250 0.250
Tc1 Tc 0.488 0.488 0.488
Tc2 Tc 0.012 0.012 0.012
Re1 Re 0.750 0.750 0.750
# calculated volume: 17.66 A^3/atom
# N(E_F): 2.56 states/eV per cell
# magnetization: 0.000 μB/f.u.

The winner here is model A, beating the second structure by 38 meV/atom.

Model A:
# SrReTc2 PBE optimized geometry
data_SrReTc2
_symmetry_space_group_name_H-M 'P 1'
_symmetry_Int_Tables_number 1
_cell_length_a 3.122
_cell_length_b 4.730
_cell_length_c 4.730
_cell_angle_alpha 90.00
_cell_angle_beta 90.00
_cell_angle_gamma 90.00
loop_
_symmetry_equiv_pos_as_xyz
'x,y,z'
loop_
_atom_site_label
_atom_site_type_symbol
_atom_site_fract_x
_atom_site_fract_y
_atom_site_fract_z
Tc1 Tc 0.000 0.000 0.000
Tc2 Tc 0.000 0.500 0.500
Re1 Re 0.500 0.500 0.000
Sr1 Sr 0.500 0.000 0.500
# calculated volume: 17.46 A^3/atom
# N(E_F): 5.22 states/eV per cell
# magnetization: 0.006 μB/f.u.

Model B:
# SrReTc2 PBE optimized geometry
data_SrReTc2
_symmetry_space_group_name_H-M 'P 1'
_symmetry_Int_Tables_number 1
_cell_length_a 5.327
_cell_length_b 5.327
_cell_length_c 2.641
_cell_angle_alpha 90.00
_cell_angle_beta 90.00
_cell_angle_gamma 107.95
loop_
_symmetry_equiv_pos_as_xyz
'x,y,z'
loop_
_atom_site_label
_atom_site_type_symbol
_atom_site_fract_x
_atom_site_fract_y
_atom_site_fract_z
Tc1 Tc 0.000 0.000 0.000
Tc2 Tc 0.500 0.500 0.000
Re1 Re 0.500 0.000 0.500
Sr1 Sr 0.000 0.500 0.500
# calculated volume: 17.82 A^3/atom
# N(E_F): 5.65 states/eV per cell
# magnetization: 0.001 μB/f.u.

Model C:
# SrReTc2 PBE optimized geometry
data_SrReTc2
_symmetry_space_group_name_H-M 'P 1'
_symmetry_Int_Tables_number 1
_cell_length_a 4.607
_cell_length_b 4.607
_cell_length_c 4.607
_cell_angle_alpha 60.00
_cell_angle_beta 60.00
_cell_angle_gamma 60.00
loop_
_symmetry_equiv_pos_as_xyz
'x,y,z'
loop_
_atom_site_label
_atom_site_type_symbol
_atom_site_fract_x
_atom_site_fract_y
_atom_site_fract_z
Re1 Re 0.500 0.500 0.500
Sr1 Sr 0.250 0.250 0.250
Tc1 Tc 0.000 0.000 0.000
Tc2 Tc 0.750 0.750 0.750
# calculated volume: 17.28 A^3/atom
# N(E_F): 2.54 states/eV per cell
# magnetization: 0.000 μB/f.u.

The winner here is model C, beating the second structure by 35 meV/atom.

Model A:
# SrReTc2 PBE optimized geometry
data_SrReTc2
_symmetry_space_group_name_H-M 'P 1'
_symmetry_Int_Tables_number 1
_cell_length_a 3.126
_cell_length_b 4.938
_cell_length_c 4.573
_cell_angle_alpha 90.00
_cell_angle_beta 90.00
_cell_angle_gamma 90.00
loop_
_symmetry_equiv_pos_as_xyz
'x,y,z'
loop_
_atom_site_label
_atom_site_type_symbol
_atom_site_fract_x
_atom_site_fract_y
_atom_site_fract_z
Re1 Re 0.500 0.000 0.500
Sr1 Sr 0.000 0.500 0.500
Tc1 Tc 0.000 0.000 0.000
Tc2 Tc 0.500 0.500 0.000
# calculated volume: 17.65 A^3/atom
# N(E_F): 5.10 states/eV per cell
# magnetization: 0.008 μB/f.u.

Model B:
# SrReTc2 PBE optimized geometry
data_SrReTc2
_symmetry_space_group_name_H-M 'P 1'
_symmetry_Int_Tables_number 1
_cell_length_a 5.675
_cell_length_b 5.675
_cell_length_c 5.675
_cell_angle_alpha 149.11
_cell_angle_beta 127.44
_cell_angle_gamma 62.22
loop_
_symmetry_equiv_pos_as_xyz
'x,y,z'
loop_
_atom_site_label
_atom_site_type_symbol
_atom_site_fract_x
_atom_site_fract_y
_atom_site_fract_z
Tc1 Tc 0.966 0.966 0.000
Tc2 Tc 0.748 0.248 0.500
Sr1 Sr 0.250 0.750 0.500
Re1 Re 0.536 0.536 0.000
# calculated volume: 18.45 A^3/atom
# N(E_F): 3.76 states/eV per cell
# magnetization: 0.000 μB/f.u.

The winner here is model B, beating the second structure by 315 meV/atom.

Model A:
# SrReTc2 PBE optimized geometry
data_SrReTc2
_symmetry_space_group_name_H-M 'P 1'
_symmetry_Int_Tables_number 1
_cell_length_a 4.604
_cell_length_b 4.604
_cell_length_c 4.604
_cell_angle_alpha 60.00
_cell_angle_beta 60.00
_cell_angle_gamma 60.00
loop_
_symmetry_equiv_pos_as_xyz
'x,y,z'
loop_
_atom_site_label
_atom_site_type_symbol
_atom_site_fract_x
_atom_site_fract_y
_atom_site_fract_z
Sr1 Sr 0.000 0.000 0.000
Re1 Re 0.500 0.500 0.500
Tc1 Tc 0.750 0.750 0.750
Tc2 Tc 0.250 0.250 0.250
# calculated volume: 17.25 A^3/atom
# N(E_F): 3.09 states/eV per cell
# magnetization: 0.000 μB/f.u.

Model B:
# SrReTc2 PBE optimized geometry
data_SrReTc2
_symmetry_space_group_name_H-M 'P 1'
_symmetry_Int_Tables_number 1
_cell_length_a 5.650
_cell_length_b 5.650
_cell_length_c 5.650
_cell_angle_alpha 148.54
_cell_angle_beta 124.93
_cell_angle_gamma 64.81
loop_
_symmetry_equiv_pos_as_xyz
'x,y,z'
loop_
_atom_site_label
_atom_site_type_symbol
_atom_site_fract_x
_atom_site_fract_y
_atom_site_fract_z
Tc1 Tc 0.540 0.540 0.000
Tc2 Tc 0.960 0.960 0.000
Sr1 Sr 0.250 0.750 0.500
Re1 Re 0.750 0.250 0.500
# calculated volume: 19.08 A^3/atom
# N(E_F): 2.94 states/eV per cell
# magnetization: 0.000 μB/f.u.

The winner here is model B, beating the second structure by 16 meV/atom.